Compound: Rb4CuHg3Cl12
Source: the Alexandria database
Functional: PBE-GGA
Structure: optimized geometry Values from VASP.

Values from the calculation:
- SG = No. 229
- formation energy from raw total energies (kJ/mol of atoms) = -105.9

Cell and atoms, written as Quantum ESPRESSO input:
```
&SYSTEM
  ibrav = 0, nat = 20, ntyp = 4
/
ATOMIC_SPECIES
Rb 85.47 Rb.upf
Cu 63.55 Cu.upf
Hg 200.59 Hg.upf
Cl 35.45 Cl.upf
CELL_PARAMETERS angstrom
-5.2516 5.2516 5.2516
5.2516 -5.2516 5.2516
5.2516 5.2516 -5.2516
ATOMIC_POSITIONS angstrom
Rb 2.6258 2.6258 -2.6258
Rb 2.6258 -2.6258 2.6258
Rb -2.6258 2.6258 2.6258
Rb 2.6258 2.6258 2.6258
Cu 0.0000 0.0000 0.0000
Hg 5.2516 0.0000 0.0000
Hg 0.0000 5.2516 0.0000
Hg 0.0000 0.0000 5.2516
Cl 2.4909 0.0000 0.0000
Cl 8.0123 0.0000 0.0000
Cl 0.0000 2.4909 0.0000
Cl 0.0000 0.0000 2.4909
Cl 5.2516 2.6258 0.0000
Cl 5.2516 0.0000 2.6258
Cl 2.6258 5.2516 0.0000
Cl 2.6258 0.0000 5.2516
Cl 0.0000 5.2516 2.6258
Cl 0.0000 2.6258 5.2516
Cl 0.0000 8.0123 0.0000
Cl 0.0000 0.0000 8.0123
```

=====

Compound: CaDy2InHg4
Source: the Alexandria database
Functional: PBE-GGA
Structure: optimized geometry Values from VASP.

Values from the calculation:
- SG = No. 166
- formation energy from the elements (kJ per mole of atoms) = -42.9

Cell and atoms, written as Quantum ESPRESSO input:
```
&SYSTEM
  ibrav = 0, nat = 8, ntyp = 4
/
ATOMIC_SPECIES
Ca 40.08 Ca.upf
Dy 162.50 Dy.upf
In 114.82 In.upf
Hg 200.59 Hg.upf
CELL_PARAMETERS angstrom
2.5946 1.4980 8.6332
-2.5946 1.4980 8.6332
0.0000 -2.9960 8.6332
ATOMIC_POSITIONS angstrom
Ca 0.0000 0.0000 0.0000
Dy 0.0000 0.0000 6.3185
Dy 0.0000 0.0000 19.5810
In 0.0000 0.0000 12.9498
Hg 0.0000 0.0000 3.1436
Hg 0.0000 0.0000 9.5753
Hg 0.0000 0.0000 16.3242
Hg 0.0000 0.0000 22.7559
```

=====

Compound: Tm5GeSb2
Source: the Alexandria database
Functional: PBE-GGA
Structure: optimized geometry Values from VASP.

Values from the calculation:
- SG = No. 63
- formation energy from raw total energies (kJ/mol of atoms) = -43.8

Cell and atoms, written as Quantum ESPRESSO input:
```
&SYSTEM
  ibrav = 0, nat = 16, ntyp = 3
/
ATOMIC_SPECIES
Tm 168.93 Tm.upf
Ge 72.64 Ge.upf
Sb 121.76 Sb.upf
CELL_PARAMETERS angstrom
2.9534 -6.0821 0.0000
2.9534 6.0821 0.0000
0.0000 0.0000 13.7631
ATOMIC_POSITIONS angstrom
Tm 2.9534 5.3345 8.4892
Tm 2.9534 5.3345 12.1555
Tm 2.9534 2.1433 3.4408
Tm 2.9534 1.5599 7.9765
Tm 2.9534 1.5599 12.6681
Tm 2.9534 -1.5599 1.0950
Tm 2.9534 -1.5599 5.7866
Tm 2.9534 -2.1433 10.3223
Tm 2.9534 -5.3345 1.6076
Tm 2.9534 -5.3345 5.2739
Ge 2.9534 3.2593 10.3223
Ge 2.9534 -3.2593 3.4408
Sb 2.9534 3.8777 1.0085
Sb 2.9534 3.8777 5.8730
Sb 2.9534 -3.8777 7.8901
Sb 2.9534 -3.8777 12.7546
```

=====

Compound: Pr3GeAu
Source: the Alexandria database
Functional: PBE-GGA
Structure: optimized geometry Values from VASP.

Values from the calculation:
- SG = No. 2
- formation energy from the elements (kJ per mole of atoms) = -59.2

Cell and atoms, written as Quantum ESPRESSO input:
```
&SYSTEM
  ibrav = 0, nat = 10, ntyp = 3
/
ATOMIC_SPECIES
Pr 140.91 Pr.upf
Ge 72.64 Ge.upf
Au 196.97 Au.upf
CELL_PARAMETERS angstrom
6.0956 0.0000 0.0000
1.3701 6.0239 0.0000
1.8888 0.7105 7.8079
ATOMIC_POSITIONS angstrom
Pr 0.8735 1.3772 0.4960
Pr 2.5504 1.5290 4.1429
Pr 3.6768 4.0853 1.5339
Pr 5.6777 2.6491 6.2740
Pr 6.8041 5.2054 3.6651
Pr 8.4810 5.3572 7.3119
Ge 5.3889 5.8723 6.4143
Ge 3.9656 0.8621 1.3936
Au 3.6427 4.4119 4.6227
Au 5.7118 2.3225 3.1852
```

=====

Compound: SrPd2SN
Source: the Alexandria database
Functional: PBE-GGA
Structure: optimized geometry Values from VASP.

Values from the calculation:
- SG = No. 123
- formation energy from raw total energies (kJ/mol of atoms) = -25.3

Cell and atoms, written as Quantum ESPRESSO input:
```
&SYSTEM
  ibrav = 0, nat = 5, ntyp = 4
/
ATOMIC_SPECIES
Sr 87.62 Sr.upf
Pd 106.42 Pd.upf
S 32.06 S.upf
N 14.01 N.upf
CELL_PARAMETERS angstrom
4.0071 0.0000 0.0000
0.0000 4.0071 0.0000
0.0000 0.0000 6.4886
ATOMIC_POSITIONS angstrom
Sr 0.0000 0.0000 0.0000
Pd 0.0000 2.0035 3.2443
Pd 2.0035 0.0000 3.2443
S 2.0035 2.0035 0.0000
N 2.0035 2.0035 3.2443
```

=====

Compound: MgScMo3
Source: the Alexandria database
Functional: PBE-GGA
Structure: optimized geometry Values from VASP.

Values from the calculation:
- SG = No. 221
- formation energy from the elements (kJ per mole of atoms) = 171.6

Cell and atoms, written as Quantum ESPRESSO input:
```
&SYSTEM
  ibrav = 0, nat = 5, ntyp = 3
/
ATOMIC_SPECIES
Mg 24.30 Mg.upf
Sc 44.96 Sc.upf
Mo 95.94 Mo.upf
CELL_PARAMETERS angstrom
4.6485 0.0000 0.0000
0.0000 4.6485 0.0000
0.0000 0.0000 4.6485
ATOMIC_POSITIONS angstrom
Mg 0.0000 0.0000 0.0000
Sc 2.3243 2.3243 2.3243
Mo 0.0000 0.0000 2.3243
Mo 0.0000 2.3243 0.0000
Mo 2.3243 0.0000 0.0000
```

=====

Compound: AlHg2Ge
Source: the Alexandria database
Functional: PBE-GGA
Structure: optimized geometry Values from VASP.

Values from the calculation:
- SG = No. 122
- formation energy from the elements (kJ per mole of atoms) = 23.0

Cell and atoms, written as Quantum ESPRESSO input:
```
&SYSTEM
  ibrav = 0, nat = 8, ntyp = 3
/
ATOMIC_SPECIES
Al 26.98 Al.upf
Hg 200.59 Hg.upf
Ge 72.64 Ge.upf
CELL_PARAMETERS angstrom
-2.0795 2.0795 10.4463
2.0795 -2.0795 10.4463
2.0795 2.0795 -10.4463
ATOMIC_POSITIONS angstrom
Al 0.0000 0.0000 0.0000
Al 0.0000 2.0795 5.2231
Hg 3.1193 1.0288 -2.6116
Hg 1.0288 1.0398 2.6116
Hg -1.0398 1.0507 7.8347
Hg 1.0507 1.0398 13.0579
Ge 2.0795 0.0000 5.2231
Ge 0.0000 0.0000 10.4463
```

=====

Compound: TlTeBr2
Source: the Alexandria database
Functional: PBE-GGA
Structure: optimized geometry Values from VASP.

Values from the calculation:
- SG = No. 166
- formation energy from raw total energies (kJ/mol of atoms) = -28.8

Cell and atoms, written as Quantum ESPRESSO input:
```
&SYSTEM
  ibrav = 0, nat = 4, ntyp = 3
/
ATOMIC_SPECIES
Tl 204.38 Tl.upf
Te 127.60 Te.upf
Br 79.90 Br.upf
CELL_PARAMETERS angstrom
2.0726 1.1966 9.9302
-2.0726 1.1966 9.9302
0.0000 -2.3932 9.9302
ATOMIC_POSITIONS angstrom
Tl 0.0000 0.0000 0.0000
Te 0.0000 0.0000 14.8953
Br 0.0000 0.0000 12.1537
Br 0.0000 0.0000 17.6370
```

=====

Compound: GaAg3Br2F6
Source: the Alexandria database
Functional: PBE-GGA
Structure: optimized geometry Values from VASP.

Values from the calculation:
- SG = No. 12
- formation energy from raw total energies (kJ/mol of atoms) = -130.6

Cell and atoms, written as Quantum ESPRESSO input:
```
&SYSTEM
  ibrav = 0, nat = 12, ntyp = 4
/
ATOMIC_SPECIES
Ga 69.72 Ga.upf
Ag 107.87 Ag.upf
Br 79.90 Br.upf
F 19.00 F.upf
CELL_PARAMETERS angstrom
6.1130 -3.1631 0.0000
6.1130 3.1631 0.0000
-0.2901 0.0000 5.4147
ATOMIC_POSITIONS angstrom
Ga 0.0000 0.0000 0.0000
Ag 3.0565 1.5816 0.0000
Ag 3.0565 -1.5816 0.0000
Ag 5.9680 0.0000 2.7074
Br 3.5169 0.0000 3.4989
Br 8.4190 0.0000 1.9158
F 1.5079 0.0000 1.1332
F 5.2082 1.7421 1.0283
F 6.7277 1.7421 4.3864
F 5.2082 -1.7421 1.0283
F 6.7277 -1.7421 4.3864
F 10.4280 0.0000 4.2815
```

=====

Compound: Na8B11C5
Source: the Alexandria database
Functional: PBE-GGA
Structure: optimized geometry Values from VASP.

Values from the calculation:
- SG = No. 25
- formation energy from the elements (kJ per mole of atoms) = 10.2

Cell and atoms, written as Quantum ESPRESSO input:
```
&SYSTEM
  ibrav = 0, nat = 24, ntyp = 3
/
ATOMIC_SPECIES
Na 22.99 Na.upf
B 10.81 B.upf
C 12.01 C.upf
CELL_PARAMETERS angstrom
2.8082 0.0000 0.0000
0.0000 8.5824 0.0000
0.0000 0.0000 10.2965
ATOMIC_POSITIONS angstrom
Na 0.0000 2.1231 0.0000
Na 0.0000 2.1329 5.1607
Na 0.0000 6.4496 5.1607
Na 0.0000 6.4593 0.0000
Na 1.4041 2.1377 7.7277
Na 1.4041 2.1502 2.5697
Na 1.4041 6.4322 2.5697
Na 1.4041 6.4447 7.7277
B 0.0000 0.0000 3.2216
B 0.0000 0.0000 8.6353
B 0.0000 4.2912 1.7394
B 0.0000 4.2912 6.9289
B 0.0000 4.2912 8.6081
B 1.4041 0.0000 0.7964
B 1.4041 0.0000 4.3730
B 1.4041 0.0000 6.1667
B 1.4041 4.2912 4.1192
B 1.4041 4.2912 5.8402
B 1.4041 4.2912 9.6855
C 0.0000 0.0000 1.6398
C 0.0000 0.0000 6.9887
C 0.0000 4.2912 3.3264
C 1.4041 0.0000 9.4628
C 1.4041 4.2912 0.9305
```

=====

Compound: AcPuGeH
Source: the Alexandria database
Functional: PBE-GGA
Structure: optimized geometry Values from VASP.

Values from the calculation:
- total energy (eV per cell) = -27.3
- SG = No. 216

Cell and atoms, written as Quantum ESPRESSO input:
```
&SYSTEM
  ibrav = 0, nat = 4, ntyp = 4
/
ATOMIC_SPECIES
Ac 227.00 Ac.upf
Pu 244.00 Pu.upf
Ge 72.64 Ge.upf
H 1.01 H.upf
CELL_PARAMETERS angstrom
0.0000 3.6126 3.6126
3.6126 0.0000 3.6126
3.6126 3.6126 0.0000
ATOMIC_POSITIONS angstrom
Ac 0.0000 0.0000 0.0000
Pu 3.6126 3.6126 3.6126
Ge 1.8063 1.8063 1.8063
H 5.4189 5.4189 5.4189
```

=====

Compound: MnCuP2
Source: the Alexandria database
Functional: PBE-GGA
Structure: optimized geometry Values from VASP.

Values from the calculation:
- SG = No. 166
- formation energy from the elements (kJ per mole of atoms) = -9.3

Cell and atoms, written as Quantum ESPRESSO input:
```
&SYSTEM
  ibrav = 0, nat = 4, ntyp = 3
/
ATOMIC_SPECIES
Mn 54.94 Mn.upf
Cu 63.55 Cu.upf
P 30.97 P.upf
CELL_PARAMETERS angstrom
1.4229 0.8215 7.0644
-1.4229 0.8215 7.0644
0.0000 -1.6430 7.0644
ATOMIC_POSITIONS angstrom
Mn 0.0000 0.0000 0.0000
Cu 0.0000 0.0000 10.5965
P 0.0000 0.0000 5.4431
P 0.0000 0.0000 15.7500
```